# 1
Computed, not measured: a relaxed structure of Ba2BrCl at the GGA-PBE level of DFT.

```
Ba2BrCl
1.0
7.407 0.000 0.000
0.000 7.407 0.000
3.703 3.703 7.386
Ba Br Cl
4 2 2
direct
0.609 0.125 0.250
0.141 0.625 0.250
0.375 0.391 0.750
0.875 0.859 0.750
0.000 0.000 0.000
0.750 0.250 0.500
0.500 0.500 0.000
0.250 0.750 0.500
```

Results
Total moment, μB/cell: 3.54
Fermi-level density of states, states/eV per cell: 4.3
Raw formation energy, eV/atom: -1.5518
Crystal system: tetragonal
Offset from the most stable computed form, kJ/mol of atoms: 11.1

***

# 2
Computed, not measured: a relaxed structure of BaBrCl3 at the GGA-PBE level of DFT.

```
BaBrCl3
1.0
5.505 0.000 0.000
0.000 5.505 0.000
0.000 0.000 5.505
Ba Br Cl
1 1 3
direct
0.500 0.500 0.500
0.000 0.000 0.000
0.000 0.500 0.000
0.000 0.000 0.500
0.500 0.000 0.000
```

Results
Total moment, μB/cell: 0.00
Fermi-level density of states, states/eV per cell: 1.6
Raw formation energy, eV/atom: -0.9386
Crystal system: cubic
Offset from the most stable computed form, kJ/mol of atoms: 49.4

***

# 3
Computed, not measured: a relaxed structure of Ba2BrCl2 at the GGA-PBE level of DFT.

```
Ba2BrCl2
1.0
5.170 0.000 0.000
0.000 5.170 0.000
2.585 2.585 7.606
Ba Br Cl
2 1 2
direct
0.365 0.365 0.271
0.635 0.635 0.729
0.000 0.000 0.000
0.750 0.250 0.500
0.250 0.750 0.500
```

Results
Total moment, μB/cell: 0.93
Fermi-level density of states, states/eV per cell: 2.1
Raw formation energy, eV/atom: -1.9484
Crystal system: tetragonal
Offset from the most stable computed form, kJ/mol of atoms: 9.3

***

# 4
Computed, not measured: a relaxed structure of Ba2Br3Cl at the GGA-PBE level of DFT.

```
Ba2Br3Cl
1.0
-2.162 0.276 7.395
6.174 -4.180 1.961
4.080 6.472 0.950
Ba Br Cl
4 6 2
direct
0.000 0.000 0.000
0.500 0.000 0.500
0.500 0.500 0.000
0.000 0.500 0.500
0.250 0.750 0.750
0.750 0.250 0.750
0.250 0.250 0.250
0.250 0.750 0.250
0.750 0.250 0.250
0.750 0.750 0.750
0.250 0.250 0.750
0.750 0.750 0.250
```

Results
Total moment, μB/cell: 0.00
Fermi-level density of states, states/eV per cell: 0.0
Raw formation energy, eV/atom: -2.2911
Crystal system: cubic

***

# 5
Computed, not measured: a relaxed structure of Ba2BrCl at the GGA-PBE level of DFT.

```
Ba2BrCl
1.0
-2.355 3.829 3.522
-0.734 -4.072 3.936
3.617 0.822 1.525
Ba Br Cl
2 1 1
direct
0.000 0.000 0.000
0.500 0.500 0.000
0.500 0.000 0.500
0.000 0.500 0.500
```

Results
Total moment, μB/cell: 1.28
Fermi-level density of states, states/eV per cell: 2.5
Raw formation energy, eV/atom: -1.4492
Crystal system: tetragonal
Offset from the most stable computed form, kJ/mol of atoms: 21.0

***

# 6
Computed, not measured: a relaxed structure of Ba2BrCl3 at the GGA-PBE level of DFT.

```
Ba2BrCl3
1.0
7.519 -0.003 -0.005
0.005 7.519 -0.005
0.003 0.003 7.519
Ba Br Cl
4 2 6
direct
0.000 0.000 0.000
0.500 0.000 0.500
0.500 0.500 0.000
0.000 0.500 0.500
0.250 0.250 0.750
0.750 0.750 0.250
0.250 0.750 0.750
0.750 0.250 0.750
0.250 0.250 0.250
0.250 0.750 0.250
0.750 0.250 0.250
0.750 0.750 0.750
```

Results
Total moment, μB/cell: 0.00
Fermi-level density of states, states/eV per cell: 0.0
Raw formation energy, eV/atom: -2.4608
Crystal system: cubic

***

# 7
Computed, not measured: a relaxed structure of Ba2BrCl at the GGA-PBE level of DFT.

```
Ba2BrCl
1.0
4.984 0.000 0.000
0.000 4.566 -0.039
0.000 -0.552 7.506
Ba Br Cl
2 1 1
direct
0.000 0.984 0.993
0.000 0.516 0.507
0.500 0.250 0.250
0.500 0.750 0.750
```

Results
Total moment, μB/cell: 0.91
Fermi-level density of states, states/eV per cell: 2.6
Raw formation energy, eV/atom: -1.5562
Crystal system: monoclinic
Offset from the most stable computed form, kJ/mol of atoms: 10.7

***

# 8
Computed, not measured: a relaxed structure of Ba4BrCl at the GGA-PBE level of DFT.

```
Ba4BrCl
1.0
-1.298 -7.596 0.697
-4.546 -3.632 -5.100
3.081 -4.936 -5.101
Ba Br Cl
4 1 1
direct
0.875 0.375 0.375
0.375 0.375 0.875
0.375 0.875 0.375
0.375 0.375 0.375
0.750 0.750 0.750
0.000 0.000 0.000
```

Results
Total moment, μB/cell: 0.01
Fermi-level density of states, states/eV per cell: 9.0
Raw formation energy, eV/atom: -0.2681
Crystal system: cubic